Record 1
Here is a relaxed structure of MnCu3Bi from Alexandria. Energies are from PBE-GGA.

The space group is Pm-3m (No. 221) and the conventional cell measures 4.4989, 4.4989 and 4.4989 Å, with angles of 90.00, 90.00 and 90.00 degrees. The distinct sites, in fractional coordinates, are Mn at (0.0000, 0.0000, 0.0000), Cu at (0.0000, 0.0000, 0.5000) and Bi at (0.5000, 0.5000, 0.5000).

As for the energy above the most stable polymorph in this dataset: 0 meV per atom.

=====

Record 2
Here is a relaxed structure of MnCu4Bi2 from Alexandria. Energies are from PBE-GGA.

The space group is I4/mmm (No. 139) and the conventional cell measures 4.6074, 4.6074 and 13.7538 Å, with angles of 90.00, 90.00 and 90.00 degrees. The distinct sites, in fractional coordinates, are Mn at (0.0000, 0.0000, 0.0000), Cu at (0.0000, 0.0000, 0.1752), Cu at (0.0000, 0.5000, 0.0000) and Bi at (0.0000, 0.0000, 0.3688).

=====

Record 3
Here is a relaxed structure of Mn3CuBi from Alexandria. Energies are from PBE-GGA.

The space group is Pm-3m (No. 221) and the conventional cell measures 5.1123, 5.1123 and 5.1123 Å, with angles of 90.00, 90.00 and 90.00 degrees. The distinct sites, in fractional coordinates, are Mn at (0.0000, 0.0000, 0.5000), Cu at (0.5000, 0.5000, 0.5000) and Bi at (0.0000, 0.0000, 0.0000).

As for the energy above the most stable polymorph in this dataset: 861 meV per atom.

=====

Record 4
Here is a relaxed structure of Mn2Cu2Bi from Alexandria. Energies are from PBE-GGA.

The space group is P4/mbm (No. 127) and the conventional cell measures 7.3180, 7.3180 and 3.1539 Å, with angles of 90.00, 90.00 and 90.00 degrees. The distinct sites, in fractional coordinates, are Mn at (0.1401, 0.3599, 0.0000), Cu at (0.1435, 0.6435, 0.5000) and Bi at (0.0000, 0.0000, 0.0000).

=====

Record 5
Here is a relaxed structure of MnCuBi2 from Alexandria. Energies are from PBE-GGA.

The space group is Fm-3m (No. 225) and the conventional cell measures 6.8330, 6.8330 and 6.8330 Å, with angles of 90.00, 90.00 and 90.00 degrees. The distinct sites, in fractional coordinates, are Mn at (0.0000, 0.0000, 0.0000), Cu at (0.0000, 0.0000, 0.5000) and Bi at (0.2500, 0.2500, 0.2500).

As for the energy above the most stable polymorph in this dataset: 259 meV per atom.

=====

Record-wise DFT total energy values, in eV for the cell shown: -20.2; -58.0; -28.0; -56.9; -72.8
Record-wise D(E_F) values, in states/eV/atom: 1.4764; 0.5867; 1.9852; 0.6323; 1.9788
Record-wise formation energy values, in meV per atom: 1023; 618; 1500; 390; 707